[1]
Y2CdC | PBE | relaxed

Unit cell a=5.065 b=6.817 c=6.817 alpha=66.06 beta=68.19 gamma=68.19
Fractional positions:
Y (0.855, 0.616, 0.673)
Y (0.543, 0.231, 0.683)
Y (0.145, 0.827, 0.884)
Y (0.457, 0.817, 0.269)
C (0.372, 0.613, 0.644)
C (0.628, 0.856, 0.887)
Cd (0.829, 0.191, 0.151)
Cd (0.171, 0.349, 0.309)

electronic total energy = -0.4340 Ry/atom
D(E_F) = 2.05 states/eV/f.u.
M_tot = 0.000 μB per formula unit


[2]
YCd3C | PBE | relaxed

Unit cell a=4.753 b=4.753 c=4.753 alpha=90.00 beta=90.00 gamma=90.00
Fractional positions:
Y (0.500, 0.500, 0.500)
Cd (0.500, 0.000, 0.000)
Cd (0.000, 0.000, 0.500)
Cd (0.000, 0.500, 0.000)
C (0.000, 0.000, 0.000)

energy above the most stable polymorph in this dataset = 0 meV per atom
D(E_F) = 2.27 states/eV/f.u.
M_tot = 0.000 μB per formula unit


[3]
Y3CdC | PBE | relaxed

Unit cell a=5.075 b=7.584 c=6.776 alpha=90.00 beta=111.95 gamma=90.00
Fractional positions:
Y (0.453, 0.250, 0.406)
Y (0.871, 0.525, 0.243)
Y (0.129, 0.475, 0.757)
Y (0.129, 0.025, 0.757)
Y (0.547, 0.750, 0.594)
Y (0.871, 0.975, 0.243)
Cd (0.304, 0.750, 0.107)
Cd (0.696, 0.250, 0.893)
C (0.018, 0.750, 0.537)
C (0.982, 0.250, 0.463)

energy above the most stable polymorph in this dataset = 125 meV per atom
D(E_F) = 3.43 states/eV/f.u.
M_tot = 0.000 μB per formula unit